Entry 1:
Nd2BeO4 | OQMD | PBE | optimized geometry; raw total energy = -101.70 eV for the cell shown; polymorph energy (0 for the lowest one) = 0.2713 eV/atom
1.0
0.000 4.610 4.610
4.610 0.000 4.610
4.610 4.610 0.000
Nd Be O
4 2 8
direct
0.000 0.000 0.000
0.000 0.000 0.500
0.000 0.500 0.000
0.500 0.000 0.000
0.375 0.375 0.375
0.625 0.625 0.625
0.259 0.259 0.259
0.259 0.259 0.723
0.259 0.723 0.259
0.277 0.741 0.741
0.723 0.259 0.259
0.741 0.277 0.741
0.741 0.741 0.277
0.741 0.741 0.741

Entry 2:
Tm4Mg3Ni2 | OQMD | PBE | optimized geometry; raw total energy = -36.16 eV for the cell shown
1.0
7.372 0.000 0.000
0.000 3.591 0.000
-2.528 0.000 7.826
Tm Mg Ni
4 3 2
direct
0.087 0.000 0.220
0.392 0.000 0.670
0.608 0.000 0.330
0.913 0.000 0.780
0.000 0.500 0.500
0.295 0.500 0.000
0.705 0.500 0.000
0.342 0.500 0.388
0.658 0.500 0.612

Entry 3:
PrMgAg | OQMD | PBE | optimized geometry; raw total energy = -39.01 eV for the cell shown
1.0
4.974 0.000 0.000
0.000 7.020 0.000
0.000 0.000 8.596
Pr Mg Ag
4 4 4
direct
0.000 0.000 0.000
0.000 0.500 0.024
0.500 0.000 0.524
0.500 0.500 0.500
0.000 0.264 0.678
0.000 0.736 0.678
0.500 0.236 0.178
0.500 0.764 0.178
0.000 0.229 0.345
0.000 0.771 0.345
0.500 0.271 0.845
0.500 0.729 0.845